(1)
Entry from the Alexandria database: BeCr2Si2 at its PBEsol-relaxed geometry (meta-GGA SCAN).

The density of states at the Fermi level is 4.36 states/eV/cell. Its calculated volume is 64 Å³/f.u. The value obtained for the formation energy (no corrections) is 0.426 eV/atom. The total magnetic moment is 0.001 μB/cell.

abc: 3.4094 3.4094 11.0929
angles: 90.00 90.00 90.00
Space group I4/mmm (No. 139)
Inequivalent atoms, fractional coordinates:
Be: 0.0000 0.0000 0.0000
Cr: 0.0000 0.5000 0.2500
Si: 0.0000 0.0000 0.3996

(2)
Entry from the Alexandria database: Ni2RhAu at its PBEsol-relaxed geometry (meta-GGA SCAN).

The value obtained for the calculated formation energy is 0.061 eV per atom. The density of states at the Fermi level is 3.53 states/eV/cell. Its calculated volume is 52 Å³/f.u. The total magnetic moment is 2.762 μB/cell.

abc: 2.6962 3.5267 5.4431
angles: 90.00 90.00 90.00
Space group Pmmm (No. 47)
Inequivalent atoms, fractional coordinates:
Ni: 0.0000 0.0000 0.2294
Rh: 0.5000 0.5000 0.0000
Au: 0.5000 0.5000 0.5000

> The lowest calculated volume belongs to which entry?

Ni2RhAu